Material: LaCrCl3
Method: DFT, GGA-PBE
State: relaxed

Calculated values
SG: No. 221
Energy relative to the elements, uncorrected in eV per atom: -0.943

abc: 4.8890 4.8890 4.8890
angles: 90.00 90.00 90.00
Fractional coordinates of all 5 atoms:
Cr: 0.0000 0.0000 0.0000
Cl: 0.0000 0.5000 0.0000
Cl: 0.0000 0.0000 0.5000
Cl: 0.5000 0.0000 0.0000
La: 0.5000 0.5000 0.5000


Material: LaCr2Cl
Method: DFT, GGA-PBE
State: relaxed

Calculated values
Excess energy over the best structure of this formula in the dataset in eV/f.u.: 2.13
SG: No. 65
Energy relative to the elements, uncorrected in eV per atom: 0.411

abc: 5.9628 5.9628 3.4099
angles: 90.00 90.00 123.00
Fractional coordinates of all 4 atoms:
Cr: 0.0000 0.0000 0.0000
Cr: 0.5000 0.5000 0.0000
Cl: 0.0000 0.5000 0.5000
La: 0.5000 0.0000 0.5000


| no. | E_tot (eV per atom) | M_tot (μB/cell) |
| --- | --- | --- |
| 1 | -4.961 | 3.5 |
| 2 | -6.094 | 8.9 |